Crystalline SrCaLa at its relaxed geometry. Source: the Alexandria database, functional GGA-PBEsol.

```
3
Lattice="3.841 0.000 0.000 0.000 3.841 0.000 -1.920 -1.920 8.371" Properties=species:S:1:pos:R:3 pbc="T T T"
Sr 0.000 0.000 5.510
Ca 0.000 0.000 0.144
La 1.921 1.921 2.718
```

Values from the calculation:
Symmetry: I4mm, No. 107
Formation enthalpy at 0 K, eV per formula unit: 0.4
Energy above the most stable polymorph in this dataset, meV per atom: 0
N(E_F), states/eV/atom: 1.63
Mass density, Mg/m³: 3.58